Entry 1:
## RbIn2BrF2 (GGA-PBE)

Data for a relaxed structure of RbIn2BrF2.

Computed properties:
- DFT total energy: -43.55 eV/cell

CIF file:
```
data_RbIn2BrF2
_space_group_name_H-M_alt 'P 1 21/m 1'
_space_group_IT_number 11
_cell_length_a 7.1193
_cell_length_b 7.3419
_cell_length_c 8.0983
_cell_angle_alpha 90.00
_cell_angle_beta 115.16
_cell_angle_gamma 90.00
loop_
_space_group_symop_operation_xyz
'x,y,z'
'-x,-y,-z'
'-x,y+1/2,-z'
'x,-y+1/2,z'
loop_
_atom_site_label
_atom_site_type_symbol
_atom_site_fract_x
_atom_site_fract_y
_atom_site_fract_z
_atom_site_occupancy
Rb1 Rb 0.2203 0.2500 0.0289 1
In1 In 0.2883 0.0135 0.5790 1
Br1 Br 0.3327 0.7500 0.1103 1
F1 F 0.1242 0.2500 0.6617 1
F2 F 0.2652 0.2500 0.3832 1
```


Entry 2:
## InSe2BrF (GGA-PBE)

Data for a relaxed structure of InSe2BrF.

Computed properties:
- Distance to the lowest polymorph of the same formula: 215 meV/atom
- DFT total energy: -12.43 eV/cell

CIF file:
```
data_InSe2BrF
_space_group_name_H-M_alt 'P 4/m m m'
_space_group_IT_number 123
_space_group_name_Hall '-P 4 2'
_cell_length_a 5.4338
_cell_length_b 5.4338
_cell_length_c 5.3595
_cell_angle_alpha 90.00
_cell_angle_beta 90.00
_cell_angle_gamma 90.00
loop_
_atom_site_label
_atom_site_type_symbol
_atom_site_fract_x
_atom_site_fract_y
_atom_site_fract_z
_atom_site_occupancy
In1 In 0.0000 0.0000 0.0000 1
Se1 Se 0.0000 0.5000 0.0000 1
Br1 Br 0.0000 0.0000 0.5000 1
F1 F 0.5000 0.5000 0.5000 1
```


Entry 3:
## InSe2BrF (GGA-PBE)

Data for a relaxed structure of InSe2BrF.

Computed properties:
- Distance to the lowest polymorph of the same formula: 0 meV/atom
- DFT total energy: -13.50 eV/cell

CIF file:
```
data_InSe2BrF
_space_group_name_H-M_alt 'P 4/m m m'
_space_group_IT_number 123
_space_group_name_Hall '-P 4 2'
_cell_length_a 4.4187
_cell_length_b 4.4187
_cell_length_c 6.6048
_cell_angle_alpha 90.00
_cell_angle_beta 90.00
_cell_angle_gamma 90.00
loop_
_atom_site_label
_atom_site_type_symbol
_atom_site_fract_x
_atom_site_fract_y
_atom_site_fract_z
_atom_site_occupancy
In1 In 0.0000 0.0000 0.0000 1
Se1 Se 0.0000 0.5000 0.5000 1
Br1 Br 0.5000 0.5000 0.0000 1
F1 F 0.5000 0.5000 0.5000 1
```


Entry 4:
## InSnBrF2 (GGA-PBE)

Data for a relaxed structure of InSnBrF2.

Computed properties:
- Distance to the lowest polymorph of the same formula: 89 meV/atom
- DFT total energy: -19.69 eV/cell

CIF file:
```
data_InSnBrF2
_space_group_name_H-M_alt 'P 4/m m m'
_space_group_IT_number 123
_space_group_name_Hall '-P 4 2'
_cell_length_a 4.3926
_cell_length_b 4.3926
_cell_length_c 5.8981
_cell_angle_alpha 90.00
_cell_angle_beta 90.00
_cell_angle_gamma 90.00
loop_
_atom_site_label
_atom_site_type_symbol
_atom_site_fract_x
_atom_site_fract_y
_atom_site_fract_z
_atom_site_occupancy
In1 In 0.0000 0.0000 0.0000 1
Sn1 Sn 0.0000 0.0000 0.5000 1
Br1 Br 0.5000 0.5000 0.0000 1
F1 F 0.0000 0.5000 0.5000 1
```


Entry 5:
## InSnBrF2 (GGA-PBE)

Data for a relaxed structure of InSnBrF2.

Computed properties:
- Distance to the lowest polymorph of the same formula: 91 meV/atom
- DFT total energy: -19.68 eV/cell

CIF file:
```
data_InSnBrF2
_space_group_name_H-M_alt 'P 4/m m m'
_space_group_IT_number 123
_space_group_name_Hall '-P 4 2'
_cell_length_a 4.6737
_cell_length_b 4.6737
_cell_length_c 6.2577
_cell_angle_alpha 90.00
_cell_angle_beta 90.00
_cell_angle_gamma 90.00
loop_
_atom_site_label
_atom_site_type_symbol
_atom_site_fract_x
_atom_site_fract_y
_atom_site_fract_z
_atom_site_occupancy
In1 In 0.0000 0.0000 0.0000 1
Sn1 Sn 0.5000 0.5000 0.5000 1
Br1 Br 0.5000 0.5000 0.0000 1
F1 F 0.0000 0.5000 0.5000 1
```


Entry 6:
## InSnBrF2 (GGA-PBE)

Data for a relaxed structure of InSnBrF2.

Computed properties:
- Distance to the lowest polymorph of the same formula: 0 meV/atom
- DFT total energy: -40.27 eV/cell

CIF file:
```
data_InSnBrF2
_space_group_name_H-M_alt 'P 1 21/m 1'
_space_group_IT_number 11
_cell_length_a 7.5983
_cell_length_b 4.5040
_cell_length_c 7.8665
_cell_angle_alpha 90.00
_cell_angle_beta 96.03
_cell_angle_gamma 90.00
loop_
_space_group_symop_operation_xyz
'x,y,z'
'-x,-y,-z'
'-x,y+1/2,-z'
'x,-y+1/2,z'
loop_
_atom_site_label
_atom_site_type_symbol
_atom_site_fract_x
_atom_site_fract_y
_atom_site_fract_z
_atom_site_occupancy
In1 In 0.2252 0.2500 0.4227 1
Sn1 Sn 0.1934 0.2500 0.9497 1
Br1 Br 0.4846 0.7500 0.2702 1
F1 F 0.0595 0.2500 0.7039 1
F2 F 0.0877 0.7500 0.9524 1
```


Entry 7:
## TaIn3Br2F6 (GGA-PBE)

Data for a relaxed structure of TaIn3Br2F6.

Computed properties:
- DFT total energy: -120.67 eV/cell

CIF file:
```
data_TaIn3Br2F6
_space_group_name_H-M_alt 'C 1 2/m 1'
_space_group_IT_number 12
_cell_length_a 16.5588
_cell_length_b 7.8005
_cell_length_c 5.0178
_cell_angle_alpha 90.00
_cell_angle_beta 91.55
_cell_angle_gamma 90.00
loop_
_space_group_symop_operation_xyz
'x,y,z'
'-x,-y,-z'
'-x,y,-z'
'x,-y,z'
'x+1/2,y+1/2,z'
'-x+1/2,-y+1/2,-z'
'-x+1/2,y+1/2,-z'
'x+1/2,-y+1/2,z'
loop_
_atom_site_label
_atom_site_type_symbol
_atom_site_fract_x
_atom_site_fract_y
_atom_site_fract_z
_atom_site_occupancy
Ta1 Ta 0.0000 0.0000 0.0000 1
In1 In 0.0000 0.5000 0.5000 1
In2 In 0.2500 0.2500 0.0000 1
Br1 Br 0.1944 0.5000 0.5033 1
F1 F 0.0366 0.1777 0.2417 1
F2 F 0.1061 0.0000 0.8479 1
```


Entry 8:
## TiIn2Br4F2 (GGA-PBE)

Data for a relaxed structure of TiIn2Br4F2.

Computed properties:
- DFT total energy: -75.09 eV/cell

CIF file:
```
data_TiIn2Br4F2
_space_group_name_H-M_alt 'C 1 2/m 1'
_space_group_IT_number 12
_cell_length_a 11.6230
_cell_length_b 7.4938
_cell_length_c 5.9265
_cell_angle_alpha 90.00
_cell_angle_beta 90.17
_cell_angle_gamma 90.00
loop_
_space_group_symop_operation_xyz
'x,y,z'
'-x,-y,-z'
'-x,y,-z'
'x,-y,z'
'x+1/2,y+1/2,z'
'-x+1/2,-y+1/2,-z'
'-x+1/2,y+1/2,-z'
'x+1/2,-y+1/2,z'
loop_
_atom_site_label
_atom_site_type_symbol
_atom_site_fract_x
_atom_site_fract_y
_atom_site_fract_z
_atom_site_occupancy
Ti1 Ti 0.0000 0.0000 0.0000 1
In1 In 0.1569 0.5000 0.7728 1
Br1 Br 0.1122 0.2436 0.2147 1
F1 F 0.1116 0.0000 0.7831 1
```


Entry 9:
## TlIn2BrF (GGA-PBE)

Data for a relaxed structure of TlIn2BrF.

Computed properties:
- DFT total energy: -12.49 eV/cell

CIF file:
```
data_TlIn2BrF
_space_group_name_H-M_alt 'P 4/m m m'
_space_group_IT_number 123
_space_group_name_Hall '-P 4 2'
_cell_length_a 6.0144
_cell_length_b 6.0144
_cell_length_c 5.6351
_cell_angle_alpha 90.00
_cell_angle_beta 90.00
_cell_angle_gamma 90.00
loop_
_atom_site_label
_atom_site_type_symbol
_atom_site_fract_x
_atom_site_fract_y
_atom_site_fract_z
_atom_site_occupancy
Tl1 Tl 0.0000 0.0000 0.0000 1
In1 In 0.0000 0.5000 0.0000 1
Br1 Br 0.0000 0.0000 0.5000 1
F1 F 0.5000 0.5000 0.5000 1
```